[1]
{
  "formula": "Ni2AgP2",
  "functional": "PBE-GGA",
  "state": "optimized geometry",
  "sg": "P4/mbm, No. 127",
  "formation_energy_mev_per_atom": 9,
  "relative_energy_ev_per_atom": 0.0255,
  "cell": [[-0.032, -4.004, 5.732], [-2.620, -5.308, -3.722], [2.548, -0.851, -0.580]],
  "species": ["Ni", "Ni", "Ni", "Ni", "Ag", "Ag", "P", "P", "P", "P"],
  "fractional_positions": [[0.133, 0.633, 0.500], [0.633, 0.867, 0.500], [0.867, 0.367, 0.500], [0.367, 0.133, 0.500], [0.000, 0.000, 0.000], [0.500, 0.500, 0.000], [0.348, 0.848, 0.000], [0.848, 0.652, 0.000], [0.652, 0.152, 0.000], [0.152, 0.348, 0.000]]
}

[2]
{
  "formula": "Fe2PCl",
  "functional": "PBE-GGA",
  "state": "optimized geometry",
  "sg": "Cmmm, No. 65",
  "raw_formation_energy_ev_per_atom": 0.093,
  "relative_energy_ev_per_atom": 0.3961,
  "cell": [[-1.293, -1.722, -2.037], [-1.583, -1.334, 2.122], [-4.555, 4.268, -0.716]],
  "species": ["Cl", "Fe", "Fe", "P"],
  "fractional_positions": [[0.500, 0.500, 0.750], [0.000, 0.000, 0.067], [0.000, 0.000, 0.433], [0.500, 0.500, 0.250]]
}

[3]
{
  "formula": "ThPaPt2",
  "functional": "PBE-GGA",
  "state": "optimized geometry",
  "sg": "R-3m, No. 166",
  "formation_energy_mev_per_atom": -1003,
  "relative_energy_ev_per_atom": 0.0000,
  "cell": [[-2.723, -3.288, 0.529], [-0.779, -2.694, -3.262], [3.543, -5.597, 0.940]],
  "species": ["Pa", "Pt", "Pt", "Th"],
  "fractional_positions": [[0.500, 0.500, 0.500], [0.754, 0.754, 0.738], [0.246, 0.246, 0.262], [0.000, 0.000, 0.000]]
}

[4]
{
  "formula": "SiOsCl2",
  "functional": "PBE-GGA",
  "state": "optimized geometry",
  "sg": "Fm-3m, No. 225",
  "raw_formation_energy_ev_per_atom": 1.243,
  "relative_energy_ev_per_atom": 1.4410,
  "cell": [[0.405, 2.616, 3.736], [-0.296, 4.556, -0.352], [-3.658, 2.192, 1.668]],
  "species": ["Si", "Os", "Cl", "Cl"],
  "fractional_positions": [[0.000, 0.000, 0.000], [0.500, 0.500, 0.500], [0.250, 0.250, 0.250], [0.750, 0.750, 0.750]]
}

[5]
{
  "formula": "K4Tm3PbO8",
  "functional": "PBE-GGA",
  "state": "optimized geometry",
  "sg": "R-3m, No. 166",
  "raw_formation_energy_ev_per_atom": -2.388,
  "cell": [[6.930, 0.000, 0.000], [0.000, 7.428, 0.342], [-3.465, -3.460, 4.904]],
  "species": ["K", "K", "K", "K", "Tm", "Tm", "Tm", "Pb", "O", "O", "O", "O", "O", "O", "O", "O"],
  "fractional_positions": [[0.500, 0.000, 0.000], [0.500, 0.000, 0.500], [0.000, 0.000, 0.000], [0.000, 0.000, 0.500], [0.500, 0.500, 0.000], [0.500, 0.500, 0.500], [0.000, 0.500, 0.500], [0.000, 0.500, 0.000], [0.238, 0.689, 0.951], [0.238, 0.689, 0.476], [0.273, 0.318, 0.545], [0.713, 0.689, 0.951], [0.287, 0.311, 0.049], [0.727, 0.682, 0.455], [0.762, 0.311, 0.524], [0.762, 0.311, 0.049]]
}

[6]
{
  "formula": "BeAl2Pt",
  "functional": "PBE-GGA",
  "state": "optimized geometry",
  "sg": "I-42d, No. 122",
  "formation_energy_mev_per_atom": -70,
  "cell": [[-4.976, 6.041, 1.909], [1.195, -1.490, 7.826], [-0.137, 3.718, 4.875]],
  "species": ["Be", "Be", "Al", "Al", "Al", "Al", "Pt", "Pt"],
  "fractional_positions": [[0.500, 0.500, 0.000], [0.250, 0.750, 0.500], [0.717, 0.125, 0.250], [0.033, 0.625, 0.250], [0.375, 0.283, 0.750], [0.875, 0.967, 0.750], [0.000, 0.000, 0.000], [0.750, 0.250, 0.500]]
}

[7]
{
  "formula": "Sn3Hg12Se5",
  "functional": "PBE-GGA",
  "state": "optimized geometry",
  "sg": "Ia-3d, No. 230",
  "raw_formation_energy_ev_per_atom": 0.032,
  "cell": [[-9.905, -10.626, -1.424], [10.231, -1.472, -10.306], [6.210, -0.872, 13.181]],
  "species": ["Sn", "Sn", "Sn", "Sn", "Sn", "Sn", "Sn", "Sn", "Sn", "Sn", "Sn", "Sn", "Se", "Se", "Se", "Se", "Se", "Se", "Se", "Se", "Se", "Se", "Se", "Se", "Se", "Se", "Se", "Se", "Se", "Se", "Se", "Se", "Hg", "Hg", "Hg", "Hg", "Hg", "Hg", "Hg", "Hg", "Hg", "Hg", "Hg", "Hg", "Hg", "Hg", "Hg", "Hg", "Hg", "Hg", "Hg", "Hg", "Hg", "Hg", "Hg", "Hg", "Hg", "Hg", "Hg", "Hg", "Hg", "Hg", "Hg", "Hg", "Hg", "Hg", "Hg", "Hg", "Hg", "Hg", "Hg", "Hg", "Hg", "Hg", "Hg", "Hg", "Hg", "Hg", "Hg", "Hg"],
  "fractional_positions": [[0.750, 0.375, 0.125], [0.875, 0.750, 0.125], [0.375, 0.750, 0.625], [0.250, 0.125, 0.375], [0.875, 0.125, 0.250], [0.375, 0.625, 0.250], [0.625, 0.375, 0.750], [0.125, 0.875, 0.750], [0.750, 0.875, 0.625], [0.625, 0.250, 0.375], [0.125, 0.250, 0.875], [0.250, 0.625, 0.875], [0.125, 0.375, 0.250], [0.000, 0.500, 0.000], [0.000, 0.000, 0.000], [0.375, 0.250, 0.125], [0.500, 0.000, 0.500], [0.500, 0.500, 0.000], [0.125, 0.750, 0.375], [0.750, 0.125, 0.875], [0.750, 0.625, 0.375], [0.375, 0.125, 0.750], [0.625, 0.875, 0.250], [0.500, 0.500, 0.500], [0.500, 0.000, 0.000], [0.000, 0.000, 0.500], [0.250, 0.375, 0.625], [0.250, 0.875, 0.125], [0.000, 0.500, 0.500], [0.875, 0.250, 0.625], [0.625, 0.750, 0.875], [0.875, 0.625, 0.750], [0.732, 0.133, 0.058], [0.326, 0.558, 0.426], [0.942, 0.367, 0.268], [0.558, 0.232, 0.133], [0.599, 0.732, 0.674], [0.942, 0.574, 0.174], [0.326, 0.768, 0.401], [0.074, 0.901, 0.133], [0.574, 0.942, 0.674], [0.732, 0.599, 0.174], [0.768, 0.442, 0.367], [0.826, 0.926, 0.058], [0.133, 0.732, 0.558], [0.367, 0.426, 0.099], [0.099, 0.926, 0.367], [0.401, 0.133, 0.574], [0.099, 0.174, 0.232], [0.442, 0.674, 0.074], [0.826, 0.901, 0.268], [0.133, 0.401, 0.074], [0.367, 0.942, 0.768], [0.574, 0.633, 0.401], [0.926, 0.826, 0.558], [0.768, 0.326, 0.901], [0.426, 0.367, 0.599], [0.074, 0.174, 0.442], [0.232, 0.674, 0.099], [0.174, 0.099, 0.732], [0.633, 0.058, 0.232], [0.867, 0.599, 0.926], [0.558, 0.326, 0.926], [0.599, 0.867, 0.426], [0.901, 0.826, 0.768], [0.901, 0.074, 0.633], [0.867, 0.268, 0.442], [0.174, 0.074, 0.942], [0.633, 0.574, 0.901], [0.426, 0.058, 0.326], [0.268, 0.401, 0.826], [0.232, 0.558, 0.633], [0.926, 0.099, 0.867], [0.674, 0.232, 0.599], [0.442, 0.768, 0.867], [0.058, 0.426, 0.826], [0.401, 0.268, 0.326], [0.058, 0.633, 0.732], [0.674, 0.442, 0.574], [0.268, 0.867, 0.942]]
}

[8]
{
  "formula": "BeOs2",
  "functional": "PBE-GGA",
  "state": "optimized geometry",
  "sg": "Cm, No. 8",
  "formation_energy_mev_per_atom": 82,
  "cell": [[1.405, 4.582, -0.012], [-1.405, 4.582, -0.012], [0.000, 0.944, 5.847]],
  "species": ["Be", "Be", "Os", "Os", "Os", "Os"],
  "fractional_positions": [[0.022, 0.022, 0.957], [0.285, 0.285, 0.378], [0.675, 0.675, 0.697], [0.584, 0.584, 0.236], [0.953, 0.953, 0.583], [0.314, 0.314, 0.982]]
}

Here are the calculated M_tot numbers, same order: 0.00, 3.78, 0.00, 2.04, 0.00, 0.00, 0.00, 0.00 (μB per formula unit).
Here are the calculated V numbers, same order: 134.4, 55.2, 99.5, 67.9, 260.7, 147.3, 2393.9, 75.3 (Å³/cell).